Compound: MgTlCr2
Source: the Alexandria database
Functional: PBE
Structure: optimized geometry

```
data_MgTlCr2
_chemical_formula_sum 'Mg1 Tl1 Cr2'
_space_group_name_H-M_alt 'P 1'
_space_group_IT_number 1
_cell_length_a 5.061
_cell_length_b 5.061
_cell_length_c 5.235
_cell_angle_alpha 101.14
_cell_angle_beta 101.14
_cell_angle_gamma 36.75
loop_
_space_group_symop_operation_xyz
'x,y,z'
loop_
_atom_site_label
_atom_site_fract_x
_atom_site_fract_y
_atom_site_fract_z
_atom_site_occupancy
Mg1 0.000 0.000 0.000 1
Tl1 0.500 0.500 0.500 1
Cr1 0.249 0.249 0.751 1
Cr2 0.751 0.751 0.249 1
```

Computed properties:
The energy of formation is 0.6821 eV per atom. Its total magnetization is 7.5 μB per formula unit.